Entry 1:
The following is a PBE-GGA calculation of an optimized crystal structure of MgZrCoRu, from Alexandria.

a b c (Å): 4.456 4.456 4.456
angles (deg): 60.00 60.00 60.00
Positions (direct):
Mg 0.000 0.000 0.000
Zr 0.500 0.500 0.500
Co 0.750 0.750 0.750
Ru 0.250 0.250 0.250

Properties
* calculated formation energy: -0.96 eV/f.u.
* V: 15.64 A^3/atom

***

Entry 2:
The following is a PBE-GGA calculation of an optimized crystal structure of MgCoS2, from Alexandria.

a b c (Å): 7.323 7.323 7.323
angles (deg): 30.09 30.09 30.09
Positions (direct):
Mg 0.000 0.000 0.000
Co 0.500 0.500 0.500
S 0.399 0.399 0.399
S 0.601 0.601 0.601

Properties
* raw formation energy: -0.328 eV/atom
* V: 21.86 A^3/atom

***

Entry 3:
The following is a PBE-GGA calculation of an optimized crystal structure of MgCo2S5, from Alexandria.

a b c (Å): 3.615 13.220 6.423
angles (deg): 90.00 90.00 90.00
Positions (direct):
Mg 0.250 0.250 0.090
Mg 0.750 0.750 0.910
Co 0.250 0.602 0.473
Co 0.250 0.898 0.473
Co 0.750 0.102 0.527
Co 0.750 0.398 0.527
S 0.250 0.054 0.354
S 0.250 0.446 0.354
S 0.250 0.669 0.169
S 0.250 0.750 0.642
S 0.250 0.831 0.169
S 0.750 0.169 0.831
S 0.750 0.250 0.358
S 0.750 0.331 0.831
S 0.750 0.554 0.646
S 0.750 0.946 0.646

Properties
* raw formation energy: -0.446 eV/atom
* V: 19.18 A^3/atom

***

Entry 4:
The following is a PBE-GGA calculation of an optimized crystal structure of MgCoS2, from Alexandria.

a b c (Å): 7.506 7.506 7.506
angles (deg): 26.23 26.23 26.23
Positions (direct):
Mg 0.000 0.000 0.000
Co 0.500 0.500 0.500
S 0.115 0.115 0.115
S 0.885 0.885 0.885

Properties
* raw formation energy: -0.383 eV/atom
* V: 18.20 A^3/atom